Entry 1:
A plane-wave DFT calculation with PBE was carried out for NaNbZn after structural relaxation.

## Properties
ΔH_f (0 K) in eV/atom: 0.694
Space-group type: No. 187

abc: 5.0440 5.0440 2.6469
angles: 90.00 90.00 120.00
Fractional coordinates of all 3 atoms:
Na1 0.0000 0.0000 0.0000
Nb1 0.6667 0.3333 0.5000
Zn1 0.3333 0.6667 0.5000



Entry 2:
A plane-wave DFT calculation with PBE was carried out for MgV2Ge after structural relaxation.

## Properties
ΔH_f (0 K) in eV/atom: 0.422
Space-group type: No. 122

abc: 5.6340 5.6340 5.6340
angles: 102.63 102.63 124.23
Fractional coordinates of all 8 atoms:
Mg1 0.0000 0.0000 0.0000
Mg2 0.7500 0.2500 0.5000
V1 0.1487 0.1250 0.5237
V2 0.3750 0.8513 0.9763
V3 0.6013 0.6250 0.4763
V4 0.8750 0.3987 0.0237
Ge1 0.2500 0.7500 0.5000
Ge2 0.5000 0.5000 0.0000



Entry 3:
A plane-wave DFT calculation with PBE was carried out for MnAg2Mo after structural relaxation.

## Properties
ΔH_f (0 K) in eV/atom: 0.297
Space-group type: No. 35

abc: 2.7570 2.7570 9.0204
angles: 90.00 90.00 108.96
Fractional coordinates of all 4 atoms:
Mn1 0.0000 0.0000 0.0000
Ag1 0.0000 0.0000 0.5190
Ag2 0.5000 0.5000 0.2493
Mo1 0.5000 0.5000 0.7883



Entry 4:
A plane-wave DFT calculation with PBE was carried out for RhC2 after structural relaxation.

## Properties
ΔH_f (0 K) in eV/atom: 1.571
Space-group type: No. 141

abc: 4.7642 4.7642 4.7642
angles: 135.29 135.29 65.09
Fractional coordinates of all 6 atoms:
Rh1 0.3750 0.6250 0.7500
Rh2 0.6250 0.3750 0.2500
C1 0.0301 0.7801 0.2500
C2 0.2199 0.9699 0.2500
C3 0.7801 0.0301 0.7500
C4 0.9699 0.2199 0.7500



Entry 5:
A plane-wave DFT calculation with PBE was carried out for Ce3Hf2UP6 after structural relaxation.

## Properties
ΔH_f (0 K) in eV/atom: -1.356
Space-group type: No. 12

abc: 6.7706 6.7706 6.8312
angles: 99.52 99.52 120.05
Fractional coordinates of all 12 atoms:
Ce1 0.0000 0.0000 0.0000
Ce2 0.3353 0.6647 0.0000
Ce3 0.6647 0.3353 0.0000
Hf1 0.1673 0.8327 0.5000
Hf2 0.8327 0.1673 0.5000
U1 0.5000 0.5000 0.5000
P1 0.0831 0.4234 0.2702
P2 0.2353 0.2353 0.7268
P3 0.4234 0.0831 0.2702
P4 0.5766 0.9169 0.7298
P5 0.7647 0.7647 0.2732
P6 0.9169 0.5766 0.7298



Entry 6:
A plane-wave DFT calculation with PBE was carried out for UAl2Ag after structural relaxation.

## Properties
ΔH_f (0 K) in eV/atom: 0.084
Space-group type: No. 123

abc: 5.2528 5.2528 2.7862
angles: 90.00 90.00 90.00
Fractional coordinates of all 4 atoms:
U1 0.0000 0.0000 0.0000
Al1 0.0000 0.5000 0.5000
Al2 0.5000 0.0000 0.5000
Ag1 0.5000 0.5000 0.0000



Entry 7:
A plane-wave DFT calculation with PBE was carried out for ReNiBP2 after structural relaxation.

## Properties
ΔH_f (0 K) in eV/atom: -0.063
Space-group type: No. 8

abc: 4.0482 4.0482 6.0129
angles: 102.10 102.10 44.10
Fractional coordinates of all 5 atoms:
Re1 0.0000 0.0000 0.0000
Ni1 0.6087 0.6087 0.3920
B1 0.2844 0.2844 0.9792
P1 0.6618 0.6618 0.7695
P2 0.8853 0.8853 0.3268



Entry 8:
A plane-wave DFT calculation with PBE was carried out for Pr2Dy2Pt15 after structural relaxation.

## Properties
ΔH_f (0 K) in eV/atom: -0.731
Space-group type: No. 166

abc: 7.1215 7.1215 7.1215
angles: 82.46 82.46 82.46
Fractional coordinates of all 19 atoms:
Pr1 0.1430 0.1430 0.1430
Pr2 0.8570 0.8570 0.8570
Dy1 0.3936 0.3936 0.3936
Dy2 0.6064 0.6064 0.6064
Pt1 0.0000 0.5000 0.5000
Pt2 0.1533 0.1533 0.6593
Pt3 0.1533 0.6593 0.1533
Pt4 0.1896 0.5000 0.8104
Pt5 0.1896 0.8104 0.5000
Pt6 0.3407 0.8467 0.8467
Pt7 0.5000 0.0000 0.5000
Pt8 0.5000 0.1896 0.8104
Pt9 0.5000 0.5000 0.0000
Pt10 0.5000 0.8104 0.1896
Pt11 0.6593 0.1533 0.1533
Pt12 0.8104 0.1896 0.5000
Pt13 0.8104 0.5000 0.1896
Pt14 0.8467 0.3407 0.8467
Pt15 0.8467 0.8467 0.3407



Entry 9:
A plane-wave DFT calculation with PBE was carried out for ZrCoAu after structural relaxation.

## Properties
ΔH_f (0 K) in eV/atom: -0.313
Space-group type: No. 65

abc: 6.3052 6.3052 4.0339
angles: 90.00 90.00 141.77
Fractional coordinates of all 6 atoms:
Zr1 0.1418 0.8582 0.0000
Zr2 0.8582 0.1418 0.0000
Co1 0.0000 0.0000 0.5000
Co2 0.5000 0.5000 0.0000
Au1 0.3447 0.6553 0.5000
Au2 0.6553 0.3447 0.5000



Entry 10:
A plane-wave DFT calculation with PBE was carried out for PrAlCuPd after structural relaxation.

## Properties
ΔH_f (0 K) in eV/atom: -0.579
Space-group type: No. 160

abc: 5.4869 5.4869 5.4869
angles: 47.13 47.13 47.13
Fractional coordinates of all 4 atoms:
Pr1 0.0000 0.0000 0.0000
Al1 0.5012 0.5012 0.5012
Cu1 0.7968 0.7968 0.7968
Pd1 0.2035 0.2035 0.2035



Entry 11:
A plane-wave DFT calculation with PBE was carried out for Be2AlCl after structural relaxation.

## Properties
Space-group type: No. 65
Formation energy without anion corrections in meV/atom: 609

abc: 4.5416 4.5416 2.8674
angles: 90.00 90.00 104.23
Fractional coordinates of all 4 atoms:
Be1 0.0000 0.5000 0.0000
Be2 0.5000 0.0000 0.0000
Al1 0.0000 0.0000 0.5000
Cl1 0.5000 0.5000 0.5000



Entry 12:
A plane-wave DFT calculation with PBE was carried out for ErAl3Ag after structural relaxation.

## Properties
ΔH_f (0 K) in eV/atom: -0.331
Space-group type: No. 63

abc: 6.4473 6.4473 5.8265
angles: 90.00 90.00 125.75
Fractional coordinates of all 10 atoms:
Er1 0.2446 0.7554 0.7500
Er2 0.7554 0.2446 0.2500
Al1 0.1469 0.8531 0.2500
Al2 0.2452 0.2452 0.0000
Al3 0.2452 0.2452 0.5000
Al4 0.7548 0.7548 0.0000
Al5 0.7548 0.7548 0.5000
Al6 0.8531 0.1469 0.7500
Ag1 0.3628 0.6372 0.2500
Ag2 0.6372 0.3628 0.7500



Entry 13:
A plane-wave DFT calculation with PBE was carried out for KAlS2 after structural relaxation.

## Properties
Space-group type: No. 156
Formation energy without anion corrections in meV/atom: -1051

abc: 3.6577 3.6577 7.7683
angles: 90.00 90.00 120.00
Fractional coordinates of all 4 atoms:
K1 0.0000 0.0000 0.0000
Al1 0.6667 0.3333 0.5454
S1 0.0000 0.0000 0.3869
S2 0.3333 0.6667 0.7209



Entry 14:
A plane-wave DFT calculation with PBE was carried out for Ta6VFe after structural relaxation.

## Properties
ΔH_f (0 K) in eV/atom: -0.028
Space-group type: No. 139

abc: 7.2539 7.2539 7.2539
angles: 143.67 143.67 52.33
Fractional coordinates of all 8 atoms:
Ta1 0.1174 0.6174 0.5000
Ta2 0.2470 0.2470 0.0000
Ta3 0.3826 0.8826 0.5000
Ta4 0.6174 0.1174 0.5000
Ta5 0.7530 0.7530 0.0000
Ta6 0.8826 0.3826 0.5000
V1 0.0000 0.0000 0.0000
Fe1 0.5000 0.5000 0.0000



Entry 15:
A plane-wave DFT calculation with PBE was carried out for TlGe2Te3 after structural relaxation.

## Properties
Space-group type: No. 26
Formation energy without anion corrections in meV/atom: -92

abc: 4.0398 11.8598 7.8856
angles: 90.00 90.00 90.00
Fractional coordinates of all 12 atoms:
Tl1 0.0000 0.1392 0.0000
Tl2 0.0000 0.8608 0.5000
Ge1 0.0000 0.2145 0.4966
Ge2 0.0000 0.7855 0.9966
Ge3 0.5000 0.4964 0.5324
Ge4 0.5000 0.5036 0.0324
Te1 0.0000 0.3921 0.7222
Te2 0.0000 0.6079 0.2222
Te3 0.5000 0.0826 0.6531
Te4 0.5000 0.3084 0.2580
Te5 0.5000 0.6916 0.7580
Te6 0.5000 0.9174 0.1531



Entry 16:
A plane-wave DFT calculation with PBE was carried out for TlGa2Cu after structural relaxation.

## Properties
ΔH_f (0 K) in eV/atom: 0.082
Space-group type: No. 123

abc: 3.0842 3.0842 8.4600
angles: 90.00 90.00 90.00
Fractional coordinates of all 4 atoms:
Tl1 0.0000 0.0000 0.0000
Ga1 0.5000 0.5000 0.3174
Ga2 0.5000 0.5000 0.6826
Cu1 0.0000 0.0000 0.5000



Entry 17:
A plane-wave DFT calculation with PBE was carried out for Ho3AlZn8 after structural relaxation.

## Properties
ΔH_f (0 K) in eV/atom: -0.255
Space-group type: No. 160

abc: 9.2430 9.2430 9.2430
angles: 34.08 34.08 34.08
Fractional coordinates of all 12 atoms:
Ho1 0.0000 0.0000 0.0000
Ho2 0.1262 0.1262 0.1262
Ho3 0.6163 0.6163 0.6163
Al1 0.4945 0.4945 0.4945
Zn1 0.0588 0.5624 0.5624
Zn2 0.0609 0.0609 0.5596
Zn3 0.0609 0.5596 0.0609
Zn4 0.3113 0.3113 0.3113
Zn5 0.5596 0.0609 0.0609
Zn6 0.5624 0.0588 0.5624
Zn7 0.5624 0.5624 0.0588
Zn8 0.8102 0.8102 0.8102



Entry 18:
A plane-wave DFT calculation with PBE was carried out for Rb2SiNiI6 after structural relaxation.

## Properties
Space-group type: No. 139
Formation energy without anion corrections in meV/atom: -589

abc: 8.0100 8.0100 8.0100
angles: 120.05 120.05 89.91
Fractional coordinates of all 10 atoms:
Rb1 0.2500 0.7500 0.5000
Rb2 0.7500 0.2500 0.5000
Si1 0.0000 0.0000 0.0000
Ni1 0.5000 0.5000 0.0000
I1 0.2543 0.2543 0.5087
I2 0.2543 0.7457 0.0000
I3 0.2545 0.2545 0.0000
I4 0.7455 0.7455 0.0000
I5 0.7457 0.2543 0.0000
I6 0.7457 0.7457 0.4913



| no. | total DFT energy (no corrections) (eV/atom) |
| --- | --- |
| 1 | -3.527 |
| 2 | -5.691 |
| 3 | -6.129 |
| 4 | -7.029 |
| 5 | -8.144 |
| 6 | -5.323 |
| 7 | -7.209 |
| 8 | -6.488 |
| 9 | -6.623 |
| 10 | -5.031 |
| 11 | -2.651 |
| 12 | -4.059 |
| 13 | -4.325 |
| 14 | -11.115 |
| 15 | -3.597 |
| 16 | -3.047 |
| 17 | -2.561 |
| 18 | -2.833 |